Pm8Ho4Pu: optimized geometry, GGA-PBE.

Computed properties:
calculated formation energy = 0.494 eV per atom
raw total energy = -4.94 eV/atom
Fermi-level density of states = 21.04 states/eV/cell

Lattice parameters (Å, degrees): 7.8226 7.8226 7.8226 90.03 90.03 90.03
Each line ends with the local moment (μB).
Atoms (fractional coordinates):
Ho 0.5000 0.5000 0.0000  0.12
Ho 0.5000 0.0000 0.5000  0.12
Ho 0.0000 0.0000 0.0000  -0.20
Ho 0.0000 0.5000 0.5000  0.12
Pm 0.2436 0.7566 0.7566  0.03
Pm 0.2436 0.2436 0.2436  0.03
Pm 0.7566 0.7566 0.2436  0.03
Pm 0.2434 0.2434 0.7564  0.03
Pm 0.7566 0.2436 0.7566  0.03
Pm 0.7564 0.7564 0.7564  0.03
Pm 0.2434 0.7564 0.2434  0.03
Pm 0.7564 0.2434 0.2434  0.03
Pu 0.5000 0.5000 0.5000  5.48